(1)
Computed, not measured: a relaxed structure of CsHfSeCl2 at the PBE level of DFT.

Computed properties:
**Space group**: P4/mmm, No. 123
**Formation energy without anion corrections**: -1463 meV per atom

Geometry as POSCAR:
```
CsHfSeCl2
1.0
5.167 0.000 0.000
0.000 5.229 0.000
0.000 0.000 5.167
Se Cl Hf Cs
1 2 1 1
Direct
0.000 0.500 0.000 Se
0.500 0.000 0.000 Cl
0.000 0.000 0.500 Cl
0.000 0.000 0.000 Hf
0.500 0.500 0.500 Cs
```

(2)
Computed, not measured: a relaxed structure of LaPr4Er2Tm at the PBE level of DFT.

Computed properties:
**Space group**: Pmmm, No. 47
**Formation enthalpy at 0 K**: 0.14 eV/f.u.

Geometry as POSCAR:
```
LaPr4Er2Tm
1.0
5.180 0.000 0.000
0.000 11.338 -1.514
0.000 2.902 4.250
La Pr Er Tm
1 4 2 1
Direct
0.500 0.500 0.000 La
0.000 0.246 0.254 Pr
0.500 0.246 0.755 Pr
0.000 0.754 0.746 Pr
0.500 0.754 0.245 Pr
0.500 0.000 0.500 Er
0.000 0.000 0.000 Er
0.000 0.500 0.500 Tm
```

(3)
Computed, not measured: a relaxed structure of ThFeB2 at the PBE level of DFT.

Computed properties:
**Space group**: Pnma, No. 62
**Formation enthalpy at 0 K**: -1.20 eV/f.u.

Geometry as POSCAR:
```
ThFeB2
1.0
3.257 0.000 0.000
0.000 6.840 0.000
0.000 0.000 9.734
Fe Th B
4 4 8
Direct
0.750 0.992 0.590 Fe
0.250 0.008 0.410 Fe
0.750 0.492 0.910 Fe
0.250 0.508 0.090 Fe
0.250 0.868 0.853 Th
0.750 0.132 0.147 Th
0.750 0.632 0.353 Th
0.250 0.368 0.647 Th
0.250 0.273 0.926 B
0.250 0.799 0.143 B
0.750 0.201 0.857 B
0.250 0.299 0.357 B
0.750 0.727 0.074 B
0.750 0.227 0.426 B
0.750 0.701 0.643 B
0.250 0.773 0.574 B
```

(4)
Computed, not measured: a relaxed structure of Ce4InPt2 at the PBE level of DFT.

Computed properties:
**Space group**: R-3m, No. 166
**Formation enthalpy at 0 K**: -3.99 eV/f.u.

Geometry as POSCAR:
```
Ce4InPt2
1.0
-2.141 -3.558 -0.295
1.997 -3.649 0.149
-1.434 -2.636 12.811
Ce In Pt
4 1 2
Direct
0.691 0.691 0.928 Ce
0.309 0.309 0.072 Ce
0.107 0.107 0.680 Ce
0.893 0.893 0.320 Ce
0.500 0.500 0.500 In
0.398 0.398 0.805 Pt
0.602 0.602 0.195 Pt
```

(5)
Computed, not measured: a relaxed structure of K2TlSn2 at the PBE level of DFT.

Computed properties:
**Space group**: P4/mbm, No. 127
**Formation enthalpy at 0 K**: -0.11 eV/f.u.

Geometry as POSCAR:
```
K2TlSn2
1.0
10.193 0.000 0.000
0.000 10.193 0.000
0.000 0.000 3.481
K Sn Tl
4 4 2
Direct
0.303 0.197 0.500 K
0.197 0.697 0.500 K
0.697 0.803 0.500 K
0.803 0.303 0.500 K
0.901 0.599 0.000 Sn
0.099 0.401 0.000 Sn
0.401 0.901 0.000 Sn
0.599 0.099 0.000 Sn
0.500 0.500 0.000 Tl
0.000 0.000 0.000 Tl
```

(6)
Computed, not measured: a relaxed structure of Y2TaTe at the PBE level of DFT.

Computed properties:
**Space group**: P4mm, No. 99
**Formation energy without anion corrections**: -101 meV per atom

Geometry as POSCAR:
```
Y2TaTe
1.0
-0.247 -1.151 3.356
-0.675 -3.288 -1.177
8.164 -1.684 0.024
Y Ta Te
2 1 1
Direct
0.500 0.500 0.293 Y
0.000 0.000 0.960 Y
0.000 0.000 0.542 Ta
0.500 0.500 0.705 Te
```

(7)
Computed, not measured: a relaxed structure of Tc2TeSe at the PBE level of DFT.

Computed properties:
**Space group**: Fm-3m, No. 225
**Formation energy without anion corrections**: 275 meV per atom

Geometry as POSCAR:
```
Tc2TeSe
1.0
-3.772 1.166 2.257
-2.762 3.197 -1.685
-4.081 -1.156 -1.641
Tc Te Se
2 1 1
Direct
0.750 0.750 0.750 Tc
0.250 0.250 0.250 Tc
0.500 0.500 0.500 Te
0.000 0.000 0.000 Se
```

(8)
Computed, not measured: a relaxed structure of AcGdGe4 at the PBE level of DFT.

Computed properties:
**Space group**: F-43m, No. 216
**Formation enthalpy at 0 K**: -2.13 eV/f.u.

Geometry as POSCAR:
```
AcGdGe4
1.0
5.814 0.000 0.000
2.907 5.035 0.000
2.907 1.678 4.747
Gd Ac Ge
1 1 4
Direct
0.250 0.250 0.250 Gd
0.000 0.000 0.000 Ac
0.621 0.621 0.621 Ge
0.621 0.137 0.621 Ge
0.621 0.621 0.137 Ge
0.137 0.621 0.621 Ge
```

(9)
Computed, not measured: a relaxed structure of PuH2I4 at the PBE level of DFT.

Computed properties:
**Space group**: C2/m, No. 12
**E**: -4.29 eV per atom

Geometry as POSCAR:
```
PuH2I4
1.0
-3.430 -7.249 1.225
3.442 -1.988 -2.123
5.385 7.965 6.057
H I Pu
2 4 1
Direct
0.725 0.732 0.464 H
0.275 0.268 0.536 H
0.903 0.876 0.753 I
0.401 0.374 0.748 I
0.599 0.626 0.252 I
0.097 0.124 0.247 I
0.000 0.500 0.000 Pu
```

(10)
Computed, not measured: a relaxed structure of CaPu2Al9 at the PBE level of DFT.

Computed properties:
**Space group**: R-3m, No. 166
**Formation enthalpy at 0 K**: -2.98 eV/f.u.

Geometry as POSCAR:
```
CaPu2Al9
1.0
-1.759 -2.240 4.770
3.182 -3.683 2.680
4.320 4.639 7.006
Al Pu Ca
9 2 1
Direct
0.587 0.587 0.748 Al
0.500 0.500 0.500 Al
0.335 0.335 0.996 Al
0.587 0.078 0.748 Al
0.078 0.587 0.748 Al
0.413 0.922 0.252 Al
0.665 0.665 0.004 Al
0.922 0.413 0.252 Al
0.413 0.413 0.252 Al
0.855 0.855 0.434 Pu
0.145 0.145 0.566 Pu
0.000 0.000 0.000 Ca
```

(11)
Computed, not measured: a relaxed structure of Tm3Zn2In2 at the PBE level of DFT.

Computed properties:
**Space group**: Cmmm, No. 65
**Formation enthalpy at 0 K**: -2.86 eV/f.u.

Geometry as POSCAR:
```
Tm3Zn2In2
1.0
-2.657 -1.065 3.285
-2.282 -1.335 -2.279
3.413 -9.963 2.419
Zn Tm In
2 3 2
Direct
0.281 0.500 0.437 Zn
0.719 0.500 0.563 Zn
0.835 0.000 0.331 Tm
0.165 0.000 0.669 Tm
0.000 0.000 0.000 Tm
0.582 0.500 0.837 In
0.418 0.500 0.163 In
```

(12)
Computed, not measured: a relaxed structure of Mn2InCoC at the PBE level of DFT.

Computed properties:
**Space group**: P4/mmm, No. 123
**Formation enthalpy at 0 K**: 0.11 eV/f.u.

Geometry as POSCAR:
```
Mn2InCoC
1.0
0.000 2.512 2.980
-2.997 1.905 -1.606
-2.512 -2.310 1.946
In Mn C Co
1 2 1 1
Direct
0.500 0.500 0.500 In
0.500 0.000 0.000 Mn
0.000 0.500 0.000 Mn
0.000 0.000 0.000 C
0.000 0.000 0.500 Co
```

(13)
Computed, not measured: a relaxed structure of CaGaCuAs2 at the PBE level of DFT.

Computed properties:
**Space group**: P4/mmm, No. 123
**Formation enthalpy at 0 K**: -0.64 eV/f.u.

Geometry as POSCAR:
```
CaGaCuAs2
1.0
4.935 0.000 0.000
0.000 4.592 0.000
0.000 0.000 4.935
As Cu Ca Ga
2 1 1 1
Direct
0.500 0.000 0.000 As
0.000 0.000 0.500 As
0.000 0.000 0.000 Cu
0.500 0.500 0.500 Ca
0.000 0.500 0.000 Ga
```

(14)
Computed, not measured: a relaxed structure of Sr2ZnP3Pt12 at the PBE level of DFT.

Computed properties:
**Space group**: R-3m, No. 166
**Formation enthalpy at 0 K**: -6.94 eV/f.u.

Geometry as POSCAR:
```
Sr2ZnP3Pt12
1.0
7.705 -0.318 -0.225
3.529 6.856 -0.225
3.529 2.054 6.545
Pt P Zn Sr
12 3 1 2
Direct
0.661 0.661 0.096 Pt
0.661 0.096 0.661 Pt
0.633 0.119 0.119 Pt
0.119 0.633 0.119 Pt
0.096 0.661 0.661 Pt
0.119 0.119 0.633 Pt
0.339 0.904 0.339 Pt
0.881 0.367 0.881 Pt
0.904 0.339 0.339 Pt
0.367 0.881 0.881 Pt
0.339 0.339 0.904 Pt
0.881 0.881 0.367 Pt
0.500 0.000 0.000 P
0.000 0.500 0.000 P
0.000 0.000 0.500 P
0.000 0.000 0.000 Zn
0.389 0.389 0.389 Sr
0.611 0.611 0.611 Sr
```

(15)
Computed, not measured: a relaxed structure of ScIn3Te at the PBE level of DFT.

Computed properties:
**Space group**: Pm-3m, No. 221
**Formation energy without anion corrections**: 429 meV per atom

Geometry as POSCAR:
```
ScIn3Te
1.0
-3.883 -1.787 -3.736
4.113 -1.071 -3.763
0.480 -5.281 2.027
In Sc Te
3 1 1
Direct
0.000 0.500 0.000 In
0.500 0.000 0.000 In
0.000 0.000 0.500 In
0.000 0.000 0.000 Sc
0.500 0.500 0.500 Te
```

(16)
Computed, not measured: a relaxed structure of Ho4RhAu2 at the PBE level of DFT.

Computed properties:
**Space group**: R-3m, No. 166
**Formation enthalpy at 0 K**: -4.94 eV/f.u.

Geometry as POSCAR:
```
Ho4RhAu2
1.0
-2.133 -3.252 3.078
-2.682 -3.752 -1.826
5.049 -6.957 0.144
Au Ho Rh
2 4 1
Direct
0.755 0.755 0.736 Au
0.245 0.245 0.264 Au
0.628 0.628 0.117 Ho
0.122 0.122 0.633 Ho
0.878 0.878 0.367 Ho
0.372 0.372 0.883 Ho
0.000 0.000 0.000 Rh
```

(17)
Computed, not measured: a relaxed structure of AlCr2Ru at the PBE level of DFT.

Computed properties:
**Space group**: R-3m, No. 166
**Formation enthalpy at 0 K**: 0.50 eV/f.u.

Geometry as POSCAR:
```
AlCr2Ru
1.0
8.699 0.000 0.000
8.291 2.632 0.000
8.291 1.285 2.297
Ru Cr Al
1 2 1
Direct
0.250 0.250 0.250 Ru
0.501 0.501 0.501 Cr
0.999 0.999 0.999 Cr
0.750 0.750 0.750 Al
```

Number 1: V 27.92 Å³/atom. Number 2: V 34.04 Å³/atom. Number 3: V 13.56 Å³/atom. Number 4: V 27.73 Å³/atom. Number 5: V 36.17 Å³/atom. Number 6: V 26.36 Å³/atom. Number 7: V 16.63 Å³/atom. Number 8: V 23.16 Å³/atom. Number 9: V 37.71 Å³/atom. Number 10: V 19.80 Å³/atom. Number 11: V 22.99 Å³/atom. Number 12: V 11.93 Å³/atom. Number 13: V 22.37 Å³/atom. Number 14: V 20.04 Å³/atom. Number 15: V 36.59 Å³/atom. Number 16: V 24.68 Å³/atom. Number 17: V 13.15 Å³/atom.